[1]
Sc2BeCSe | GGA-PBE | relaxed

Calculated values
Total energy (eV per formula unit): -32.74
V (Å³ per cell): 74.4
Spin magnetization (μB per atom): 0.1058
Space group: P4/mmm, No. 123

abc: 4.6735 4.6735 3.4067
angles: 90.00 90.00 90.00
Last column: nearest neighbours and their distance in Å.
Positions (direct):
C 0.0000 0.0000 0.0000  2 Be 1.70
Se 0.5000 0.5000 0.5000  8 Sc 2.89
Sc 0.5000 0.0000 0.0000  2 C 2.34
Sc 0.0000 0.5000 0.0000  2 C 2.34
Be 0.0000 0.0000 0.5000  2 C 1.70

***

[2]
Sc2BeSiC | GGA-PBE | relaxed

Calculated values
Total energy (eV per formula unit): -33.69
V (Å³ per cell): 72.4
Spin magnetization (μB per atom): 0.0000
Polymorph energy (0 for the lowest one) (meV/atom): 23
Space group: P4/mmm, No. 123

abc: 4.5828 4.5828 3.4452
angles: 90.00 90.00 90.00
Last column: nearest neighbours and their distance in Å.
Positions (direct):
Si 0.5000 0.5000 0.5000  8 Sc 2.87
C 0.0000 0.0000 0.0000  2 Be 1.72
Sc 0.5000 0.0000 0.0000  2 C 2.29
Sc 0.0000 0.5000 0.0000  2 C 2.29
Be 0.0000 0.0000 0.5000  2 C 1.72

***

[3]
Sc2BeSiC | GGA-PBE | relaxed

Calculated values
Total energy (eV per formula unit): -33.80
V (Å³ per cell): 148.9
Spin magnetization (μB per atom): 0.0000
Polymorph energy (0 for the lowest one) (meV/atom): 0
Space group: P2_1/m, No. 11

abc: 3.4475 6.0683 7.4749
angles: 107.79 90.00 90.00
Last column: nearest neighbours and their distance in Å.
Positions (direct):
Sc 0.2500 0.1920 0.3806  2 C 2.30
Sc 0.2500 0.2093 0.9702  3 C 2.21-2.36
Sc 0.7500 0.8080 0.6194  2 C 2.30
Sc 0.7500 0.7907 0.0298  3 C 2.21-2.36
Si 0.7500 0.3045 0.6978  2 Be 2.21
Si 0.2500 0.6955 0.3022  2 Be 2.21
Be 0.2500 0.5430 0.7512  1 C 1.67
Be 0.7500 0.4570 0.2488  1 C 1.67
C 0.2500 0.8315 0.8272  1 Be 1.67
C 0.7500 0.1685 0.1728  1 Be 1.67

***

Which value of V does entry 2 give?
72.4 Å³ per cell

***

spin magnetization of number 3 (Sc2BeSiC)?
0.0000 μB per atom

***

Among the records above, which one has the highest V?
number 3